Computed, not measured: a geometry-optimized SiBiI2N structure at the PBE-GGA level of DFT.

## Properties
The value obtained for the distance to the lowest polymorph of the same formula is 0 meV/atom. For the total energy, the calculation gives -3.8219 eV/atom. As for the formation energy without anion corrections: 0.324 eV/atom.

Cell lengths 6.048, 6.048, 3.418 Å; angles 90.00, 90.00, 90.00 degrees
Fractional coordinates of all 5 atoms:
I  0.000  0.500  0.000
I  0.500  0.000  0.000
Si  0.000  0.000  0.000
Bi  0.500  0.500  0.500
N  0.000  0.000  0.500

=====

Computed, not measured: a geometry-optimized SiBiI2N structure at the PBE-GGA level of DFT.

## Properties
The value obtained for the distance to the lowest polymorph of the same formula is 805 meV/atom. For the total energy, the calculation gives -3.0170 eV/atom. As for the formation energy without anion corrections: 1.129 eV/atom.

Cell lengths 6.332, 6.332, 4.188 Å; angles 90.00, 90.00, 90.00 degrees
Fractional coordinates of all 5 atoms:
I  0.000  0.500  0.000
I  0.500  0.000  0.000
Si  0.500  0.500  0.500
Bi  0.000  0.000  0.000
N  0.000  0.000  0.500

=====

Computed, not measured: a geometry-optimized SiBiIN2 structure at the PBE-GGA level of DFT.

## Properties
The value obtained for the distance to the lowest polymorph of the same formula is 467 meV/atom. For the total energy, the calculation gives -3.7296 eV/atom. As for the formation energy without anion corrections: 1.771 eV/atom.

Cell lengths 4.374, 4.374, 6.853 Å; angles 90.00, 90.00, 90.00 degrees
Fractional coordinates of all 5 atoms:
I  0.000  0.000  0.500
Si  0.500  0.500  0.500
Bi  0.000  0.000  0.000
N  0.000  0.500  0.000
N  0.500  0.000  0.000

=====

Computed, not measured: a geometry-optimized SnBiI2N structure at the PBE-GGA level of DFT.

## Properties
The value obtained for the distance to the lowest polymorph of the same formula is 0 meV/atom. For the total energy, the calculation gives -3.2754 eV/atom. As for the formation energy without anion corrections: 0.586 eV/atom.

Cell lengths 6.240, 6.240, 3.880 Å; angles 90.00, 90.00, 90.00 degrees
Fractional coordinates of all 5 atoms:
I  0.000  0.500  0.000
I  0.500  0.000  0.000
N  0.000  0.000  0.500
Bi  0.500  0.500  0.500
Sn  0.000  0.000  0.000

=====

- Which value of formation energy without anion corrections does entry 2 give?
  1.129 eV/atom